Entry from Alexandria: DyZrZnRe after structural relaxation (GGA-PBE).

Values from the calculation:
energy relative to the elements	-0.10	eV/atom

Cell: 4.813 4.813 4.813 Å, 60.00 60.00 60.00°
Positions (direct):
Dy1 0.000 0.000 0.000
Zr1 0.500 0.500 0.500
Zn1 0.250 0.250 0.250
Re1 0.750 0.750 0.750

---

Entry from Alexandria: Nd3YPd3 after structural relaxation (GGA-PBE).

Values from the calculation:
energy relative to the elements	-0.62	eV/atom

Cell: 7.146 7.146 7.269 Å, 91.23 91.23 97.20°
Positions (direct):
Nd1 0.176 0.824 0.000
Nd2 0.253 0.747 0.500
Nd3 0.347 0.347 0.130
Nd4 0.653 0.653 0.870
Nd5 0.747 0.253 0.500
Nd6 0.824 0.176 0.000
Y1 0.256 0.256 0.624
Y2 0.744 0.744 0.376
Pd1 0.020 0.500 0.780
Pd2 0.063 0.063 0.312
Pd3 0.500 0.020 0.780
Pd4 0.500 0.980 0.220
Pd5 0.937 0.937 0.688
Pd6 0.980 0.500 0.220

---

Entry from Alexandria: SmScCI after structural relaxation (GGA-PBE).

Values from the calculation:
uncorrected formation energy	-0.7018	eV/atom

Cell: 7.597 7.597 7.597 Å, 28.18 28.18 28.18°
Positions (direct):
Sm1 0.000 0.000 0.000
Sc1 0.221 0.221 0.221
C1 0.601 0.601 0.601
I1 0.783 0.783 0.783

---

Electronic total energy for the records above, in order: -6.82, -5.81, -6.16 eV/atom